[1]
A geometry-optimized PuMg2Ga4 structure, computed with PBE-GGA.

Calculated values
calculated formation energy	-0.248	eV per atom
electronic total energy	-4.48	eV per atom
crystal system	orthorhombic
D(E_F)	1.41	states/eV/atom
space-group type	Immm (71)
total moment	0.79	μB per atom

Cell lengths 4.434, 3.221, 10.046 Å; angles 99.22, 102.75, 90.00 degrees
Last column: magnetic moment on the atom in μB.
Fractional positions:
Pu (0.500, 0.000, 0.000)  5.36
Mg (0.796, 0.796, 0.592)  0.00
Mg (0.204, 0.204, 0.408)  0.00
Ga (0.649, 0.649, 0.299)  -0.01
Ga (0.351, 0.351, 0.701)  -0.01
Ga (0.074, 0.574, 0.148)  -0.01
Ga (0.926, 0.426, 0.852)  -0.01



[2]
A geometry-optimized NbSnP3 structure, computed with PBE-GGA.

Calculated values
calculated formation energy	0.285	eV per atom
electronic total energy	-5.77	eV per atom
crystal system	cubic
D(E_F)	0.76	states/eV/atom
space-group type	Pm-3m (221)
energy above the lowest structure with this stoichiometry	0.000	eV/atom
total moment	0.00	μB per atom

Cell lengths 4.862, 4.862, 4.862 Å; angles 90.00, 90.00, 90.00 degrees
Fractional positions:
P (0.000, 0.500, 0.000)
P (0.000, 0.000, 0.500)
P (0.500, 0.000, 0.000)
Nb (0.000, 0.000, 0.000)
Sn (0.500, 0.500, 0.500)